Entry 1:
CrNiPb2 | SCAN | PBEsol geometry

energy of formation from the pure elements = 350.7 meV/atom
symmetry = C2/m, No. 12
distance to the lowest polymorph of the same formula = 0.41 eV per formula unit
density of states at the Fermi level = 4.8 states/eV per cell

a b c (Å): 8.259 3.359 5.871
angles (deg): 90.00 103.92 90.00
Element x y z (fractional)
Cr1 0.000 0.000 0.000
Cr2 0.500 0.500 0.000
Ni1 0.000 0.500 0.500
Ni2 0.500 0.000 0.500
Pb1 0.239 0.000 0.729
Pb2 0.261 0.500 0.271
Pb3 0.739 0.500 0.729
Pb4 0.761 0.000 0.271


Entry 2:
CrNiPb | SCAN | PBEsol geometry

energy of formation from the pure elements = 241.5 meV/atom
symmetry = F-43m, No. 216
density of states at the Fermi level = 13.0 states/eV per cell

a b c (Å): 5.918 5.918 5.918
angles (deg): 90.00 90.00 90.00
Element x y z (fractional)
Cr1 0.000 0.000 0.000
Cr2 0.000 0.500 0.500
Cr3 0.500 0.000 0.500
Cr4 0.500 0.500 0.000
Ni1 0.250 0.250 0.750
Ni2 0.250 0.750 0.250
Ni3 0.750 0.250 0.250
Ni4 0.750 0.750 0.750
Pb1 0.000 0.000 0.500
Pb2 0.000 0.500 0.000
Pb3 0.500 0.000 0.000
Pb4 0.500 0.500 0.500


Entry 3:
CrNiPb2 | SCAN | PBEsol geometry

energy of formation from the pure elements = 248.2 meV/atom
symmetry = P4mm, No. 99
distance to the lowest polymorph of the same formula = 0.00 eV per formula unit
density of states at the Fermi level = 3.3 states/eV per cell

a b c (Å): 3.185 3.185 7.952
angles (deg): 90.00 90.00 90.00
Element x y z (fractional)
Cr1 0.000 0.000 0.000
Ni1 0.500 0.500 0.135
Pb1 0.000 0.000 0.366
Pb2 0.500 0.500 0.755


Entry 4:
CrNi3Pd | SCAN | PBEsol geometry

energy of formation from the pure elements = 1276.5 meV/atom
symmetry = Pm-3m, No. 221
density of states at the Fermi level = 4.6 states/eV per cell

a b c (Å): 4.443 4.443 4.443
angles (deg): 90.00 90.00 90.00
Element x y z (fractional)
Cr1 0.000 0.000 0.000
Ni1 0.000 0.500 0.500
Ni2 0.500 0.000 0.500
Ni3 0.500 0.500 0.000
Pd1 0.500 0.500 0.500


Final energy list, top to bottom, in eV/atom: -46.18 -36.54 -46.28 -18.66
Volume list, top to bottom, in Å³/atom: 19.8 17.3 20.2 17.5
Total magnetic moment list, top to bottom, in μB per formula unit: 4.26 3.17 3.28 7.90